{"formula": "Sn2GeAsP2", "functional": "PBE-GGA", "state": "relaxed", "dos_at_fermi_per_ev_cell": 1.081, "crystal_system": "orthorhombic", "space_group": "Fmm2", "energy_ev_per_cell": -28.0, "formation_enthalpy_0k_mev_per_atom": 14, "lattice_angstrom": [[0.000, 8.039, 3.044], [2.717, 0.000, 3.044], [2.717, 8.039, 0.000]], "species": ["Sn", "Sn", "Ge", "As", "P", "P"], "frac_coords": [[0.169, 0.831, 0.169], [0.831, 0.169, 0.831], [0.484, 0.484, 0.516], [0.902, 0.902, 0.098], [0.267, 0.592, 0.408], [0.592, 0.267, 0.733]]}